Entry 1:
Computed, not measured: a geometry-optimized Dy4AlHg2Au structure at the GGA-PBE level of DFT.

Results
crystal system	trigonal

Geometry as CIF:
```
data_Dy4AlHg2Au
_chemical_formula_sum 'Dy12 Al3 Hg6 Au3'
_cell_length_a 5.1842
_cell_length_b 5.1842
_cell_length_c 25.3899
_cell_angle_alpha 90.00
_cell_angle_beta 90.00
_cell_angle_gamma 120.00
_space_group_name_H-M_alt 'R -3 m'
_space_group_IT_number 166
_space_group_name_Hall '-R 3 2"'
loop_
_atom_site_label
_atom_site_type_symbol
_atom_site_fract_x
_atom_site_fract_y
_atom_site_fract_z
Dy1 Dy 0.0000 0.0000 0.1226
Dy2 Dy 0.0000 0.0000 0.3733
Al1 Al 0.0000 0.0000 0.5000
Hg1 Hg 0.0000 0.0000 0.2457
Au1 Au 0.0000 0.0000 0.0000
```

Entry 2:
Computed, not measured: a geometry-optimized DyHoAlAu structure at the GGA-PBE level of DFT.

Results
crystal system	tetragonal
excess energy over the best structure of this formula in the dataset	0.00	eV/f.u.

Geometry as CIF:
```
data_DyHoAlAu
_chemical_formula_sum 'Dy1 Ho1 Al1 Au1'
_cell_length_a 3.549
_cell_length_b 3.549
_cell_length_c 7.437
_cell_angle_alpha 90.00
_cell_angle_beta 90.00
_cell_angle_gamma 90.00
_space_group_name_H-M_alt 'P 4 m m'
_space_group_IT_number 99
_space_group_name_Hall 'P 4 -2'
loop_
_atom_site_label
_atom_site_type_symbol
_atom_site_fract_x
_atom_site_fract_y
_atom_site_fract_z
Dy1 Dy 0.000 0.000 0.000
Ho1 Ho 0.000 0.000 0.486
Al1 Al 0.500 0.500 0.742
Au1 Au 0.500 0.500 0.248
```

Entry 3:
Computed, not measured: a geometry-optimized DyHoAlAu structure at the GGA-PBE level of DFT.

Results
crystal system	cubic
excess energy over the best structure of this formula in the dataset	0.20	eV/f.u.

Geometry as CIF:
```
data_DyHoAlAu
_chemical_formula_sum 'Dy4 Ho4 Al4 Au4'
_cell_length_a 7.240
_cell_length_b 7.240
_cell_length_c 7.240
_cell_angle_alpha 90.00
_cell_angle_beta 90.00
_cell_angle_gamma 90.00
_space_group_name_H-M_alt 'F -4 3 m'
_space_group_IT_number 216
_space_group_name_Hall 'F -4 2 3'
loop_
_atom_site_label
_atom_site_type_symbol
_atom_site_fract_x
_atom_site_fract_y
_atom_site_fract_z
Dy1 Dy 0.000 0.000 0.000
Ho1 Ho 0.000 0.000 0.500
Al1 Al 0.250 0.250 0.750
Au1 Au 0.250 0.250 0.250
```

no.,calculated formation energy (meV/atom)
1,-536
2,-621
3,-571